Entry 1:
## Ba2AgRu (PBE-GGA)

Data for a relaxed structure of Ba2AgRu.

Results
ΔE to the lowest computed polymorph ... 0.0 meV/atom
Formation energy ... 0.2531 eV/atom
Symmetry ... Amm2

```
Ba2AgRu
1.0
4.783 0.000 0.000
0.000 4.821 -0.001
0.000 2.411 5.770
Ag Ba Ru
1 2 1
direct
0.500 0.571 0.732
0.000 0.988 0.899
0.500 0.270 0.334
0.000 0.670 0.534
```

Entry 2:
## CeY2Pu (PBE-GGA)

Data for a relaxed structure of CeY2Pu.

Results
ΔE to the lowest computed polymorph ... 0.0 meV/atom
Formation energy ... 0.1457 eV/atom
Symmetry ... R3m

```
CeY2Pu
1.0
-0.768 1.975 -2.807
-3.249 -0.045 -1.346
-4.334 9.334 5.552
Ce Y Pu
1 2 1
direct
0.500 0.500 0.499
0.082 0.082 0.754
0.251 0.251 0.246
0.666 0.666 0.001
```

Entry 3:
## Pm3Se3S (PBE-GGA)

Data for a relaxed structure of Pm3Se3S.

Results
ΔE to the lowest computed polymorph ... 50.2 meV/atom
Symmetry ... C2/m
Formation energy (no corrections) ... -38.00 kcal/mol of atoms

```
Pm3Se3S
1.0
7.960 0.283 -1.134
1.923 6.789 -3.915
-0.245 -0.239 7.782
Pm Se S
6 6 2
direct
0.272 0.014 0.000
0.753 0.558 0.319
0.753 0.239 0.681
0.247 0.442 0.681
0.247 0.761 0.319
0.728 0.986 0.000
0.415 0.332 0.000
0.500 0.180 0.361
0.500 0.820 0.639
0.000 0.226 0.452
0.000 0.774 0.548
0.585 0.668 0.000
0.926 0.225 0.000
0.074 0.775 0.000
```

Entry 4:
## La2TiAs4Rh3 (PBE-GGA)

Data for a relaxed structure of La2TiAs4Rh3.

Results
Formation energy ... -1.0032 eV/atom
Symmetry ... P-4m2

```
La2TiAs4Rh3
1.0
-2.212 -3.148 -1.974
2.381 0.563 -3.566
6.837 -6.975 3.463
La Ti As Rh
2 1 4 3
direct
0.500 0.000 0.235
0.000 0.500 0.765
0.500 0.500 0.500
0.500 0.500 0.000
0.000 0.000 0.000
0.500 0.000 0.639
0.000 0.500 0.361
0.000 0.000 0.500
0.500 0.000 0.882
0.000 0.500 0.118
```